# 1
First-principles (PBE) data for a relaxed NdSmGaHg crystal, as listed in Alexandria.

Calculated values
Symmetry ... F-43m (216)
Crystal system ... cubic

Unit cell a=5.318 b=5.318 c=5.318 alpha=60.00 beta=60.00 gamma=60.00
Atoms (fractional coordinates):
Ga1 0.250 0.250 0.250
Nd1 0.500 0.500 0.500
Hg1 0.750 0.750 0.750
Sm1 0.000 0.000 0.000

---

# 2
First-principles (PBE) data for a relaxed NdGaSnHg crystal, as listed in Alexandria.

Calculated values
Symmetry ... F-43m (216)
Crystal system ... cubic

Unit cell a=5.223 b=5.223 c=5.223 alpha=60.00 beta=60.00 gamma=60.00
Atoms (fractional coordinates):
Nd1 0.750 0.750 0.750
Hg1 0.000 0.000 0.000
Ga1 0.500 0.500 0.500
Sn1 0.250 0.250 0.250

---

| no. | E above lowest polymorph (meV per atom) | energy of formation from the pure elements (eV per atom) |
| --- | --- | --- |
| 1 | 21.1 | -0.4985 |
| 2 | 166.3 | -0.3131 |